No. 1
Entry from Alexandria via LeMat-Bulk: a geometry-optimized FeAg2H2 structure (PBE-GGA). Values from VASP.

Results
* total DFT energy (no corrections): -3.7953 eV per atom

```
&SYSTEM
  ibrav = 0, nat = 10, ntyp = 3
/
ATOMIC_SPECIES
H 1.01 H.upf
Fe 55.84 Fe.upf
Ag 107.87 Ag.upf
CELL_PARAMETERS angstrom
-2.603 1.738 -4.442
-0.524 -5.134 -1.702
-3.465 -0.283 1.920
ATOMIC_POSITIONS crystal
H 0.219 0.719 0.000
H 0.719 0.781 0.000
H 0.781 0.281 0.000
H 0.281 0.219 0.000
Fe 0.000 0.000 0.000
Fe 0.500 0.500 0.000
Ag 0.192 0.692 0.500
Ag 0.692 0.808 0.500
Ag 0.808 0.308 0.500
Ag 0.308 0.192 0.500
```

No. 2
Entry from Alexandria via LeMat-Bulk: a geometry-optimized ScAlB2Sb structure (PBE-GGA). Values from VASP.

Results
* total DFT energy (no corrections): -4.5899 eV per atom
* ΔE_f (raw): 0.920 eV per atom

```
&SYSTEM
  ibrav = 0, nat = 5, ntyp = 4
/
ATOMIC_SPECIES
Sc 44.96 Sc.upf
Sb 121.76 Sb.upf
B 10.81 B.upf
Al 26.98 Al.upf
CELL_PARAMETERS angstrom
-3.951 -1.301 0.015
1.722 -5.226 0.518
-0.108 0.375 4.141
ATOMIC_POSITIONS crystal
Sc 0.500 0.500 0.500
Sb 0.000 0.500 0.000
B 0.000 0.000 0.500
B 0.500 0.000 0.000
Al 0.000 0.000 0.000
```

No. 3
Entry from Alexandria via LeMat-Bulk: a geometry-optimized ZnPbAu structure (PBE-GGA). Values from VASP.

Results
* total DFT energy (no corrections): -2.8807 eV per atom

```
&SYSTEM
  ibrav = 0, nat = 6, ntyp = 3
/
ATOMIC_SPECIES
Zn 65.41 Zn.upf
Pb 207.20 Pb.upf
Au 196.97 Au.upf
CELL_PARAMETERS angstrom
-3.912 0.740 0.517
-0.900 -2.991 -2.523
-0.163 -5.212 6.235
ATOMIC_POSITIONS crystal
Zn 0.814 0.367 0.920
Zn 0.314 0.867 0.920
Pb 0.814 0.866 0.551
Pb 0.313 0.366 0.289
Au 0.813 0.866 0.138
Au 0.314 0.367 0.702
```

No. 4
Entry from Alexandria via LeMat-Bulk: a geometry-optimized SrCe2Nd structure (PBE-GGA). Values from VASP.

Results
* total DFT energy (no corrections): -4.2527 eV per atom

```
&SYSTEM
  ibrav = 0, nat = 4, ntyp = 3
/
ATOMIC_SPECIES
Sr 87.62 Sr.upf
Nd 144.24 Nd.upf
Ce 140.12 Ce.upf
CELL_PARAMETERS angstrom
-2.094 2.787 0.713
-0.435 1.085 3.361
9.294 9.228 0.106
ATOMIC_POSITIONS crystal
Sr 0.000 0.000 0.000
Nd 0.500 0.500 0.500
Ce 0.090 0.090 0.729
Ce 0.910 0.910 0.271
```

No. 5
Entry from Alexandria via LeMat-Bulk: a geometry-optimized LiYTlBr5 structure (PBE-GGA). Values from VASP.

Results
* total DFT energy (no corrections): -3.9219 eV per atom
* ΔE_f (raw): -1.533 eV per atom

```
&SYSTEM
  ibrav = 0, nat = 16, ntyp = 4
/
ATOMIC_SPECIES
Li 6.94 Li.upf
Y 88.91 Y.upf
Tl 204.38 Tl.upf
Br 79.90 Br.upf
CELL_PARAMETERS angstrom
7.863 -0.057 -0.075
-2.350 7.504 -0.075
-2.374 -3.207 9.751
ATOMIC_POSITIONS crystal
Li 0.692 0.308 0.250
Li 0.308 0.692 0.750
Y 0.000 0.000 0.500
Y 0.000 0.000 0.000
Tl 0.358 0.642 0.250
Tl 0.642 0.358 0.750
Br 0.083 0.917 0.250
Br 0.917 0.083 0.750
Br 0.917 0.313 0.112
Br 0.083 0.687 0.888
Br 0.687 0.083 0.388
Br 0.313 0.917 0.612
Br 0.755 0.623 0.433
Br 0.245 0.377 0.567
Br 0.377 0.245 0.067
Br 0.623 0.755 0.933
```

No. 6
Entry from Alexandria via LeMat-Bulk: a geometry-optimized AgHgAs4 structure (PBE-GGA). Values from VASP.

Results
* total DFT energy (no corrections): -3.2368 eV per atom

```
&SYSTEM
  ibrav = 0, nat = 6, ntyp = 3
/
ATOMIC_SPECIES
Ag 107.87 Ag.upf
Hg 200.59 Hg.upf
As 74.92 As.upf
CELL_PARAMETERS angstrom
0.000 4.198 4.198
4.198 0.000 4.198
4.198 4.198 0.000
ATOMIC_POSITIONS crystal
Ag 0.000 0.000 0.000
Hg 0.750 0.750 0.750
As 0.821 0.393 0.393
As 0.393 0.393 0.821
As 0.393 0.821 0.393
As 0.393 0.393 0.393
```

No. 7
Entry from Alexandria via LeMat-Bulk: a geometry-optimized Hf3ScBe structure (PBE-GGA). Values from VASP.

Results
* polymorph energy (0 for the lowest one): 6.38 eV per formula unit
* total DFT energy (no corrections): -6.3506 eV per atom

```
&SYSTEM
  ibrav = 0, nat = 5, ntyp = 3
/
ATOMIC_SPECIES
Sc 44.96 Sc.upf
Be 9.01 Be.upf
Hf 178.49 Hf.upf
CELL_PARAMETERS angstrom
4.929 0.000 0.000
0.000 4.929 0.000
0.000 0.000 4.929
ATOMIC_POSITIONS crystal
Sc 0.000 0.000 0.000
Be 0.500 0.500 0.500
Hf 0.000 0.500 0.000
Hf 0.000 0.000 0.500
Hf 0.500 0.000 0.000
```

No. 8
Entry from Alexandria via LeMat-Bulk: a geometry-optimized ErAl2Tl structure (PBE-GGA). Values from VASP.

Results
* total DFT energy (no corrections): -3.8419 eV per atom

```
&SYSTEM
  ibrav = 0, nat = 4, ntyp = 3
/
ATOMIC_SPECIES
Tl 204.38 Tl.upf
Al 26.98 Al.upf
Er 167.26 Er.upf
CELL_PARAMETERS angstrom
4.358 0.000 0.000
0.000 4.450 0.000
0.000 0.000 4.450
ATOMIC_POSITIONS crystal
Tl 0.500 0.000 0.000
Al 0.000 0.000 0.500
Al 0.000 0.500 0.000
Er 0.500 0.500 0.500
```

No. 9
Entry from Alexandria via LeMat-Bulk: a geometry-optimized RbAs6Se8 structure (PBE-GGA). Values from VASP.

Results
* total DFT energy (no corrections): -3.8864 eV per atom
* ΔE_f (raw): -0.104 eV per atom

```
&SYSTEM
  ibrav = 0, nat = 15, ntyp = 3
/
ATOMIC_SPECIES
Rb 85.47 Rb.upf
As 74.92 As.upf
Se 78.96 Se.upf
CELL_PARAMETERS angstrom
-0.825 -6.590 4.609
-3.114 -3.720 -6.466
7.556 -1.987 -2.076
ATOMIC_POSITIONS crystal
Rb 0.000 0.000 0.000
As 0.554 0.453 0.795
As 0.453 0.795 0.554
As 0.795 0.554 0.453
As 0.446 0.547 0.205
As 0.547 0.205 0.446
As 0.205 0.446 0.547
Se 0.717 0.717 0.717
Se 0.283 0.283 0.283
Se 0.575 0.903 0.313
Se 0.903 0.313 0.575
Se 0.313 0.575 0.903
Se 0.425 0.097 0.687
Se 0.097 0.687 0.425
Se 0.687 0.425 0.097
```

No. 10
Entry from Alexandria via LeMat-Bulk: a geometry-optimized CePd6Au2 structure (PBE-GGA). Values from VASP.

Results
* polymorph energy (0 for the lowest one): 0.93 eV per formula unit
* total DFT energy (no corrections): -5.0495 eV per atom

```
&SYSTEM
  ibrav = 0, nat = 9, ntyp = 3
/
ATOMIC_SPECIES
Ce 140.12 Ce.upf
Pd 106.42 Pd.upf
Au 196.97 Au.upf
CELL_PARAMETERS angstrom
-2.052 1.223 4.191
-2.715 -0.517 -3.954
-1.175 -8.581 1.930
ATOMIC_POSITIONS crystal
Ce 0.000 0.000 0.000
Pd 0.659 0.000 0.236
Pd 0.341 0.341 0.236
Pd 0.000 0.659 0.236
Pd 0.659 0.659 0.764
Pd 0.000 0.341 0.764
Pd 0.341 0.000 0.764
Au 0.333 0.667 0.500
Au 0.667 0.333 0.500
```

No. 11
Entry from Alexandria via LeMat-Bulk: a geometry-optimized Rb3TaIn structure (PBE-GGA). Values from VASP.

Results
* polymorph energy (0 for the lowest one): 0.00 eV per formula unit
* total DFT energy (no corrections): -2.0540 eV per atom

```
&SYSTEM
  ibrav = 0, nat = 5, ntyp = 3
/
ATOMIC_SPECIES
In 114.82 In.upf
Rb 85.47 Rb.upf
Ta 180.95 Ta.upf
CELL_PARAMETERS angstrom
-3.718 1.003 5.740
4.267 -4.169 3.493
3.969 5.422 1.623
ATOMIC_POSITIONS crystal
In 0.500 0.500 0.500
Rb 0.000 0.500 0.000
Rb 0.000 0.000 0.500
Rb 0.500 0.000 0.000
Ta 0.000 0.000 0.000
```

No. 12
Entry from Alexandria via LeMat-Bulk: a geometry-optimized CaAcDyHo structure (PBE-GGA). Values from VASP.

Results
* total DFT energy (no corrections): -3.6911 eV per atom

```
&SYSTEM
  ibrav = 0, nat = 4, ntyp = 4
/
ATOMIC_SPECIES
Ac 227.00 Ac.upf
Ca 40.08 Ca.upf
Ho 164.93 Ho.upf
Dy 162.50 Dy.upf
CELL_PARAMETERS angstrom
-4.637 2.150 2.983
-0.340 -0.725 5.863
0.694 4.644 3.601
ATOMIC_POSITIONS crystal
Ac 0.750 0.750 0.750
Ca 0.000 0.000 0.000
Ho 0.500 0.500 0.500
Dy 0.250 0.250 0.250
```

Q: Which of these has the highest total DFT energy (no corrections)?
A: Rb3TaIn